# 1
Below is crystalline InFeMoSe2 at its relaxed geometry, with properties calculated at the PBE level.

a b c (Å): 5.0915 4.7188 5.0915
angles (deg): 90.00 90.00 90.00
Fractional positions:
Se 0.0000 0.0000 0.5000
Se 0.5000 0.0000 0.0000
Mo 0.5000 0.5000 0.5000
In 0.0000 0.0000 0.0000
Fe 0.0000 0.5000 0.0000

Results
As for the uncorrected formation energy: 1920 meV per atom.

# 2
Below is crystalline PmYP2 at its relaxed geometry, with properties calculated at the PBE level.

a b c (Å): 3.5251 4.9759 4.9759
angles (deg): 90.00 90.00 90.00
Fractional positions:
P 0.0000 0.0000 0.5000
P 0.0000 0.5000 0.0000
Y 0.5000 0.5000 0.5000
Pm 0.5000 0.0000 0.0000

Results
The formation enthalpy at 0 K is -4.235 eV per formula unit. The relative energy among the computed polymorphs comes out at 534 meV/atom.

# 3
Below is crystalline Na2GaGeO4 at its relaxed geometry, with properties calculated at the PBE level.

a b c (Å): 5.5759 5.5759 5.5759
angles (deg): 83.18 124.02 124.02
Fractional positions:
Na 0.5000 0.7500 0.2500
Na 0.0000 0.0000 0.0000
O 0.0728 0.2072 0.6202
O 0.5870 0.3798 0.4526
O 0.9272 0.5474 0.1344
O 0.4130 0.8656 0.7928
Ga 0.5000 0.2500 0.7500
Ge 0.0000 0.5000 0.5000

Results
As for the uncorrected formation energy: -1630 meV per atom.

# 4
Below is crystalline ZrInAg at its relaxed geometry, with properties calculated at the PBE level.

a b c (Å): 9.1851 5.5779 3.0504
angles (deg): 56.85 75.41 82.09
Fractional positions:
Ag 0.9512 0.1584 0.0856
Ag 0.6107 0.1584 0.6639
Zr 0.1040 0.6585 0.0024
Zr 0.4582 0.6583 0.7480
In 0.7811 0.6584 0.8769
In 0.2810 0.1584 0.8754

Results
The formation enthalpy at 0 K is -0.452 eV per formula unit.

# 5
Below is crystalline K2SrSnSb2 at its relaxed geometry, with properties calculated at the PBE level.

a b c (Å): 4.6402 9.5484 10.0186
angles (deg): 90.00 90.00 90.00
Fractional positions:
Sb 0.5000 0.2251 0.4369
Sb 0.0000 0.7877 0.1428
Sb 0.5000 0.7251 0.5631
Sb 0.0000 0.2877 0.8572
Sr 0.0000 0.9508 0.4344
Sr 0.0000 0.4508 0.5656
Sn 0.5000 0.6428 0.2818
Sn 0.5000 0.1428 0.7182
K 0.5000 0.0643 0.0839
K 0.0000 0.8749 0.7999
K 0.0000 0.3749 0.2001
K 0.5000 0.5643 0.9161

Results
As for the uncorrected formation energy: -562 meV per atom.

# 6
Below is crystalline MgCN2 at its relaxed geometry, with properties calculated at the PBE level.

a b c (Å): 4.4923 4.4923 4.4292
angles (deg): 59.53 59.53 90.00
Fractional positions:
N 0.3750 0.4779 0.7500
N 0.5221 0.1250 0.2500
N 0.8750 0.7721 0.7500
N 0.2279 0.6250 0.2500
C 0.2500 0.7500 0.5000
C 0.5000 0.5000 0.0000
Mg 0.0000 0.0000 0.0000
Mg 0.7500 0.2500 0.5000

Results
As for the uncorrected formation energy: -67 meV per atom.

# 7
Below is crystalline ScReSe2 at its relaxed geometry, with properties calculated at the PBE level.

a b c (Å): 4.8562 4.8562 4.7117
angles (deg): 77.95 77.95 39.68
Fractional positions:
Sc 0.2557 0.2557 0.1952
Se 0.9932 0.9932 0.0505
Se 0.7609 0.7609 0.6777
Re 0.4902 0.4902 0.5765

Results
As for the uncorrected formation energy: -372 meV per atom. The relative energy among the computed polymorphs comes out at 117 meV/atom.

# 8
Below is crystalline KAsPd2 at its relaxed geometry, with properties calculated at the PBE level.

a b c (Å): 4.3890 4.3890 6.3781
angles (deg): 69.88 69.88 60.00
Fractional positions:
Pd 0.8075 0.8075 0.5775
Pd 0.1925 0.1925 0.4225
K 0.0000 0.0000 0.0000
As 0.5000 0.5000 0.5000

Results
The formation enthalpy at 0 K is -1.419 eV per formula unit.

Number 1: uncorrected energy -19.4 eV for the cell shown, D(E_F) 2.9949 states/eV per atom. Number 2: uncorrected energy -26.3 eV for the cell shown, D(E_F) 0.4797 states/eV per atom. Number 3: uncorrected energy -43.2 eV for the cell shown, D(E_F) 0.1258 states/eV per atom. Number 4: uncorrected energy -29.2 eV for the cell shown, D(E_F) 0.6520 states/eV per atom. Number 5: uncorrected energy -39.0 eV for the cell shown, D(E_F) 0.0534 states/eV per atom. Number 6: uncorrected energy -55.5 eV for the cell shown, D(E_F) 0.0000 states/eV per atom. Number 7: uncorrected energy -27.2 eV for the cell shown, D(E_F) 0.4338 states/eV per atom. Number 8: uncorrected energy -17.6 eV for the cell shown, D(E_F) 0.8321 states/eV per atom.